1.
VASP calculation (PBE) on a relaxed structure of TlCuHg2.

Results
Formation energy from the elements in eV/atom: 0.27
Volume in Å³/cell: 93.6
DOS at the Fermi energy in states/eV/cell: 1.0
Space group: Cmmm

Unit cell a=4.9698 b=4.9698 c=4.0224 alpha=90.00 beta=90.00 gamma=109.53
With the nearest neighbours (Å) after each atom.
Positions (direct):
Tl: 0.5000 0.0000 0.5000  2 Cu 2.87, 8 Hg 3.20
Hg: 0.0000 0.0000 0.0000  2 Hg 2.87, 4 Cu 3.20, 4 Tl 3.20
Hg: 0.5000 0.5000 0.0000  2 Hg 2.87, 4 Tl 3.20, 4 Cu 3.20
Cu: 0.0000 0.5000 0.5000  2 Tl 2.87, 8 Hg 3.20

2.
VASP calculation (PBE) on a relaxed structure of Pr6Mg2Ru.

Results
Formation energy from the elements in eV/atom: -0.02
Volume in Å³/cell: 599.8
DOS at the Fermi energy in states/eV/cell: 22.2
Space group: C2/m

Unit cell a=7.8942 b=7.5289 c=10.0916 alpha=90.00 beta=90.60 gamma=90.00
With the nearest neighbours (Å) after each atom.
Positions (direct):
Pr: 0.7514 0.7511 0.9646  1 Ru 2.77
Pr: 0.4403 0.5001 0.7344  1 Ru 2.72
Pr: 0.2486 0.2489 0.0354  1 Ru 2.77
Pr: 0.7486 0.2511 0.5354  1 Ru 2.77
Pr: 0.9403 0.9999 0.2344  1 Ru 2.72
Pr: 0.0597 0.0001 0.7656  1 Ru 2.72
Pr: 0.2514 0.7489 0.4646  1 Ru 2.77
Pr: 0.7516 0.2492 0.9647  1 Ru 2.77
Pr: 0.5597 0.4999 0.2656  1 Ru 2.72
Pr: 0.7484 0.7492 0.5353  1 Ru 2.77
Pr: 0.2516 0.2508 0.4647  1 Ru 2.77
Pr: 0.2484 0.7508 0.0353  1 Ru 2.77
Mg: 0.0187 0.5004 0.7557  5 Pr 3.34-3.59
Mg: 0.5187 0.9996 0.2557  5 Pr 3.34-3.59
Mg: 0.9813 0.4996 0.2443  5 Pr 3.34-3.59
Mg: 0.4813 0.0004 0.7443  5 Pr 3.34-3.59
Ru: 0.0000 0.0000 0.5000  6 Pr 2.72-2.77
Ru: 0.5000 0.5000 0.0000  6 Pr 2.72-2.77

3.
VASP calculation (PBE) on a relaxed structure of ScSiIr2.

Results
Total energy in eV/f.u.: -30.27
Volume in Å³/cell: 64.5
DOS at the Fermi energy in states/eV/cell: 4.6
Space group: R3m

Unit cell a=8.5940 b=8.5940 c=8.5940 alpha=19.93 beta=19.93 gamma=19.93
With the nearest neighbours (Å) after each atom.
Positions (direct):
Si: 0.7419 0.7419 0.7419  3 Ir 2.42
Sc: 0.5026 0.5026 0.5026  3 Ir 2.63, 3 Si 2.93
Ir: 0.2478 0.2478 0.2478  3 Sc 2.63, 3 Ir 2.92
Ir: 0.0077 0.0077 0.0077  3 Si 2.42

4.
VASP calculation (PBE) on a relaxed structure of RbSmHg.

Results
Formation energy from the elements in eV/atom: 0.06
Volume in Å³/cell: 247.6
DOS at the Fermi energy in states/eV/cell: 5.1
Space group: Amm2

Unit cell a=4.0783 b=4.0398 c=17.4092 alpha=90.00 beta=90.00 gamma=120.32
With the nearest neighbours (Å) after each atom.
Positions (direct):
Sm: 0.6153 0.2306 0.3805  3 Hg 3.13
Sm: 0.6153 0.2306 0.6195  3 Hg 3.13
Hg: 0.6100 0.2200 0.0000  6 Rb 3.72-3.73, 6 Hg 4.04-4.08
Hg: 0.2799 0.5597 0.5000  6 Sm 3.13
Rb: 0.2731 0.5462 0.8333  3 Hg 3.72-3.73, 6 Rb 4.04-4.08
Rb: 0.2731 0.5462 0.1667  3 Hg 3.72-3.73, 6 Rb 4.04-4.08

5.
VASP calculation (PBE) on a relaxed structure of Zr2AlV2Co5.

Results
Formation energy from the elements in eV/atom: -0.11
Volume in Å³/cell: 277.7
DOS at the Fermi energy in states/eV/cell: 19.8
Space group: P4/mbm

Unit cell a=2.9340 b=9.7294 c=9.7294 alpha=90.00 beta=90.00 gamma=90.00
With the nearest neighbours (Å) after each atom.
Positions (direct):
V: 0.0000 0.1358 0.6358  6 Co 2.33-2.38, 1 Zr 2.60
V: 0.0000 0.6358 0.8642  6 Co 2.33-2.38, 1 Zr 2.60
V: 0.0000 0.8642 0.3642  6 Co 2.33-2.38, 1 Zr 2.60
V: 0.0000 0.3642 0.1358  6 Co 2.33-2.38, 1 Zr 2.60
Al: 0.0000 0.5000 0.5000  8 Co 2.48
Al: 0.0000 0.0000 0.0000  8 Co 2.48
Zr: 0.0000 0.8244 0.6756  1 V 2.60, 6 Co 2.83-2.90
Zr: 0.0000 0.6756 0.1756  1 V 2.60, 6 Co 2.83-2.90
Zr: 0.0000 0.1756 0.3244  1 V 2.60, 6 Co 2.83-2.90
Zr: 0.0000 0.3244 0.8244  1 V 2.60, 6 Co 2.83-2.90
Co: 0.5000 0.9510 0.1992  2 V 2.33, 2 Al 2.48
Co: 0.5000 0.0000 0.5000  4 V 2.38
Co: 0.5000 0.4510 0.3008  2 V 2.33, 2 Al 2.48
Co: 0.5000 0.3008 0.5490  2 V 2.33, 2 Al 2.48
Co: 0.5000 0.8008 0.9510  2 V 2.33, 2 Al 2.48
Co: 0.5000 0.5000 0.0000  4 V 2.38
Co: 0.5000 0.5490 0.6992  2 V 2.33, 2 Al 2.48
Co: 0.5000 0.6992 0.4510  2 V 2.33, 2 Al 2.48
Co: 0.5000 0.0490 0.8008  2 V 2.33, 2 Al 2.48
Co: 0.5000 0.1992 0.0490  2 V 2.33, 2 Al 2.48

6.
VASP calculation (PBE) on a relaxed structure of La2PrS3.

Results
Total energy in eV/f.u.: -39.74
Volume in Å³/cell: 150.5
DOS at the Fermi energy in states/eV/cell: 3.3
Space group: Immm

Unit cell a=4.1439 b=5.8551 c=7.1643 alpha=114.12 beta=106.81 gamma=90.00
With the nearest neighbours (Å) after each atom.
Positions (direct):
La: 0.1660 0.1660 0.8320  6 S 2.92-2.94
La: 0.8340 0.8340 0.1680  6 S 2.92-2.94
S: 0.8339 0.3339 0.1679  2 Pr 2.92, 4 La 2.93-2.94
S: 0.5000 0.0000 0.5000  4 La 2.92, 2 Pr 2.93
S: 0.1661 0.6661 0.8321  2 Pr 2.92, 4 La 2.93-2.94
Pr: 0.5000 0.5000 0.5000  6 S 2.92-2.93

7.
VASP calculation (PBE) on a relaxed structure of Pm3Pr3Ho5.

Results
Formation energy from the elements in eV/atom: 0.77
Volume in Å³/cell: 450.7
DOS at the Fermi energy in states/eV/cell: 17.3
Space group: P-62m

Unit cell a=5.5854 b=9.6522 c=9.6522 alpha=120.00 beta=90.00 gamma=90.00
With the nearest neighbours (Å) after each atom.
Positions (direct):
Ho: 0.5000 0.7302 0.0000  3 Pr 3.18-3.51, 2 Pm 3.37
Ho: 0.5000 0.0000 0.7302  3 Pr 3.18-3.51, 2 Pm 3.37
Ho: 0.5000 0.3333 0.6667  3 Pr 3.07
Ho: 0.5000 0.2698 0.2698  3 Pr 3.18-3.51, 2 Pm 3.37
Ho: 0.5000 0.6667 0.3333  3 Pr 3.07
Pm: 0.0000 0.0000 0.5355  2 Pr 3.23, 2 Ho 3.37
Pm: 0.0000 0.5355 0.0000  2 Pr 3.23, 2 Ho 3.37
Pm: 0.0000 0.4645 0.4645  2 Pr 3.23, 2 Ho 3.37
Pr: 0.5000 0.6335 0.6335  4 Ho 3.07-3.18, 2 Pm 3.23
Pr: 0.5000 0.0000 0.3665  4 Ho 3.07-3.18, 2 Pm 3.23
Pr: 0.5000 0.3665 0.0000  4 Ho 3.07-3.18, 2 Pm 3.23

8.
VASP calculation (PBE) on a relaxed structure of ZrNpTiIr.

Results
Formation energy from the elements in eV/atom: -0.03
Volume in Å³/cell: 73.0
DOS at the Fermi energy in states/eV/cell: 12.9
Space group: F-43m

Unit cell a=4.6909 b=4.6909 c=4.6909 alpha=60.00 beta=60.00 gamma=60.00
With the nearest neighbours (Å) after each atom.
Positions (direct):
Ti: 0.2500 0.2500 0.2500  4 Ir 2.87, 4 Np 2.87
Np: 0.0000 0.0000 0.0000  4 Zr 2.87, 4 Ti 2.87
Zr: 0.7500 0.7500 0.7500  4 Np 2.87, 4 Ir 2.87
Ir: 0.5000 0.5000 0.5000  4 Zr 2.87, 4 Ti 2.87